A plane-wave DFT calculation with PBE-GGA was carried out for an optimized crystal structure of Ho4InC2.

Cell: 14.4446 14.4446 14.4446 Å, 14.24 14.24 14.24°
Positions (direct):
Ho 0.1241 0.1241 0.1241
Ho 0.2717 0.2717 0.2717
Ho 0.7283 0.7283 0.7283
Ho 0.8759 0.8759 0.8759
In 0.0000 0.0000 0.0000
C 0.4279 0.4279 0.4279
C 0.5721 0.5721 0.5721

energy = -42.04 eV for the cell shown
D(E_F) = 4.5 states/eV/f.u.

---

A plane-wave DFT calculation with PBE-GGA was carried out for an optimized crystal structure of SrSn2Bi2.

Cell: 8.3298 8.3298 7.2211 Å, 113.36 113.36 106.88°
Positions (direct):
Sr 0.1438 0.8562 0.7500
Sr 0.8562 0.1438 0.2500
Sn 0.1962 0.5394 0.2790
Sn 0.4606 0.8038 0.2210
Sn 0.5394 0.1962 0.7790
Sn 0.8038 0.4606 0.7210
Bi 0.1178 0.8822 0.2500
Bi 0.4342 0.5658 0.7500
Bi 0.5658 0.4342 0.2500
Bi 0.8822 0.1178 0.7500

energy = -36.82 eV for the cell shown
D(E_F) = 2.3 states/eV/f.u.

---

A plane-wave DFT calculation with PBE-GGA was carried out for an optimized crystal structure of KCaFe.

Cell: 3.6737 3.6737 8.6445 Å, 90.00 90.00 120.00°
Positions (direct):
K 0.0000 0.0000 0.0000
Ca 0.6667 0.3333 0.4430
Fe 0.3333 0.6667 0.6871

energy = -9.01 eV for the cell shown
D(E_F) = 3.7 states/eV/f.u.

---

A plane-wave DFT calculation with PBE-GGA was carried out for an optimized crystal structure of SrCd2Au.

Cell: 4.5578 4.5578 5.0783 Å, 90.00 90.00 90.00°
Positions (direct):
Sr 0.0000 0.0000 0.0000
Cd 0.0000 0.5000 0.5000
Cd 0.5000 0.0000 0.5000
Au 0.5000 0.5000 0.0000

energy = -8.09 eV for the cell shown
D(E_F) = 2.1 states/eV/f.u.

---

A plane-wave DFT calculation with PBE-GGA was carried out for an optimized crystal structure of Nd3Zn.

Cell: 7.1077 7.1077 5.3319 Å, 90.00 90.00 120.00°
Positions (direct):
Nd 0.1776 0.3552 0.2500
Nd 0.1776 0.8224 0.2500
Nd 0.3552 0.1776 0.7500
Nd 0.6448 0.8224 0.2500
Nd 0.8224 0.1776 0.7500
Nd 0.8224 0.6448 0.7500
Zn 0.3333 0.6667 0.7500
Zn 0.6667 0.3333 0.2500

energy = -31.49 eV for the cell shown
D(E_F) = 5.1 states/eV/f.u.

---

A plane-wave DFT calculation with PBE-GGA was carried out for an optimized crystal structure of Er2AlBPt6.

Cell: 5.6532 8.5947 7.2948 Å, 90.00 90.00 90.00°
Positions (direct):
Er 0.2500 0.0358 0.2106
Er 0.2500 0.4642 0.2106
Er 0.7500 0.5358 0.7894
Er 0.7500 0.9642 0.7894
Al 0.2500 0.7500 0.8219
Al 0.7500 0.2500 0.1781
B 0.2500 0.2500 0.6900
B 0.7500 0.7500 0.3100
Pt 0.0005 0.2500 0.9049
Pt 0.0080 0.7500 0.5202
Pt 0.2500 0.0053 0.6477
Pt 0.2500 0.4947 0.6477
Pt 0.4920 0.7500 0.5202
Pt 0.4995 0.2500 0.9049
Pt 0.5005 0.7500 0.0951
Pt 0.5080 0.2500 0.4798
Pt 0.7500 0.5053 0.3523
Pt 0.7500 0.9947 0.3523
Pt 0.9920 0.2500 0.4798
Pt 0.9995 0.7500 0.0951

energy = -130.84 eV for the cell shown
D(E_F) = 3.0 states/eV/f.u.

---

A plane-wave DFT calculation with PBE-GGA was carried out for an optimized crystal structure of Ag2HgAu2.

Cell: 5.5583 5.5583 5.5583 Å, 123.53 123.53 83.99°
Positions (direct):
Ag 0.1636 0.1636 0.0000
Ag 0.8364 0.8364 0.0000
Hg 0.5000 0.5000 0.0000
Au 0.2500 0.7500 0.5000
Au 0.7500 0.2500 0.5000

energy = -10.98 eV for the cell shown
energy above the most stable polymorph in this dataset = 0.311 eV/atom
D(E_F) = 2.7 states/eV/f.u.

---

A plane-wave DFT calculation with PBE-GGA was carried out for an optimized crystal structure of Na3TlSn12.

Cell: 4.6767 4.6767 19.8218 Å, 90.00 90.00 90.00°
Positions (direct):
Na 0.0000 0.0000 0.0000
Na 0.0000 0.0000 0.2459
Na 0.0000 0.0000 0.7541
Tl 0.0000 0.0000 0.5000
Sn 0.0000 0.5000 0.1233
Sn 0.0000 0.5000 0.3693
Sn 0.0000 0.5000 0.6307
Sn 0.0000 0.5000 0.8767
Sn 0.5000 0.0000 0.1233
Sn 0.5000 0.0000 0.3693
Sn 0.5000 0.0000 0.6307
Sn 0.5000 0.0000 0.8767
Sn 0.5000 0.5000 0.0000
Sn 0.5000 0.5000 0.2464
Sn 0.5000 0.5000 0.5000
Sn 0.5000 0.5000 0.7536

energy = -55.40 eV for the cell shown
D(E_F) = 3.6 states/eV/f.u.

---

A plane-wave DFT calculation with PBE-GGA was carried out for an optimized crystal structure of BaTl2CdCl6.

Cell: 7.6679 7.6679 6.2380 Å, 90.00 90.00 90.00°
Positions (direct):
Ba 0.0000 0.0000 0.0000
Tl 0.0000 0.5000 0.4126
Tl 0.5000 0.0000 0.4126
Cd 0.5000 0.5000 0.0028
Cl 0.0000 0.0000 0.5212
Cl 0.2690 0.2690 0.1322
Cl 0.2690 0.7310 0.1322
Cl 0.5000 0.5000 0.6090
Cl 0.7310 0.2690 0.1322
Cl 0.7310 0.7310 0.1322

E_form (uncorrected) = -1.436 eV/atom
energy = -33.01 eV for the cell shown
D(E_F) = 0.0 states/eV/f.u.

---

A plane-wave DFT calculation with PBE-GGA was carried out for an optimized crystal structure of BaSr2Dy.

Cell: 4.3275 4.3275 10.4102 Å, 90.00 90.00 90.00°
Positions (direct):
Ba 0.0000 0.0000 0.0000
Sr 0.5000 0.5000 0.2895
Sr 0.5000 0.5000 0.7105
Dy 0.0000 0.0000 0.5000

energy = -9.25 eV for the cell shown
energy above the most stable polymorph in this dataset = 0.000 eV/atom
D(E_F) = 4.5 states/eV/f.u.

---

A plane-wave DFT calculation with PBE-GGA was carried out for an optimized crystal structure of MgPa2Si3Pt4.

Cell: 4.1366 4.1366 10.5094 Å, 90.00 90.00 90.00°
Positions (direct):
Mg 0.0000 0.0000 0.0000
Pa 0.0000 0.5000 0.7427
Pa 0.5000 0.0000 0.2573
Si 0.0000 0.5000 0.3723
Si 0.5000 0.0000 0.6277
Si 0.5000 0.5000 0.0000
Pt 0.0000 0.0000 0.5000
Pt 0.0000 0.5000 0.1484
Pt 0.5000 0.0000 0.8516
Pt 0.5000 0.5000 0.5000

E_form (uncorrected) = -0.894 eV/atom
energy = -69.96 eV for the cell shown
D(E_F) = 8.3 states/eV/f.u.

---

A plane-wave DFT calculation with PBE-GGA was carried out for an optimized crystal structure of Rb2InAgO4.

Cell: 12.7923 11.0735 7.7415 Å, 83.67 59.36 36.98°
Positions (direct):
Rb 0.0560 0.0560 0.6940
Rb 0.3060 0.3060 0.9440
Rb 0.6940 0.6940 0.0560
Rb 0.9440 0.9440 0.3060
In 0.1250 0.1250 0.1250
In 0.8750 0.8750 0.8750
Ag 0.3750 0.3750 0.3750
Ag 0.6250 0.6250 0.6250
O 0.0313 0.7126 0.5244
O 0.2318 0.5244 0.7126
O 0.2874 0.9687 0.7682
O 0.4756 0.7682 0.9687
O 0.5244 0.2318 0.0313
O 0.7126 0.0313 0.2318
O 0.7682 0.4756 0.2874
O 0.9687 0.2874 0.4756

E_form (uncorrected) = -0.873 eV/atom
energy = -68.69 eV for the cell shown

---

A plane-wave DFT calculation with PBE-GGA was carried out for an optimized crystal structure of CaNdPtAu.

Cell: 5.1083 5.1083 5.1083 Å, 60.00 60.00 60.00°
Positions (direct):
Ca 0.0000 0.0000 0.0000
Nd 0.5000 0.5000 0.5000
Pt 0.7500 0.7500 0.7500
Au 0.2500 0.2500 0.2500

energy = -19.67 eV for the cell shown
energy above the most stable polymorph in this dataset = 0.040 eV/atom
D(E_F) = 2.7 states/eV/f.u.

---

A plane-wave DFT calculation with PBE-GGA was carried out for an optimized crystal structure of YTlZn.

Cell: 13.7738 3.9276 7.8396 Å, 90.00 90.00 90.00°
Positions (direct):
Y 0.0549 0.0000 0.2294
Y 0.2500 0.0000 0.8195
Y 0.4451 0.0000 0.2294
Y 0.5549 0.0000 0.7706
Y 0.7500 0.0000 0.1805
Y 0.9451 0.0000 0.7706
Tl 0.1133 0.5000 0.5661
Tl 0.2500 0.5000 0.1564
Tl 0.3867 0.5000 0.5661
Tl 0.6133 0.5000 0.4339
Tl 0.7500 0.5000 0.8436
Tl 0.8867 0.5000 0.4339
Zn 0.0865 0.5000 0.9348
Zn 0.2500 0.0000 0.4283
Zn 0.4135 0.5000 0.9348
Zn 0.5865 0.5000 0.0652
Zn 0.7500 0.0000 0.5717
Zn 0.9135 0.5000 0.0652

energy = -66.13 eV for the cell shown
D(E_F) = 1.7 states/eV/f.u.

---

A plane-wave DFT calculation with PBE-GGA was carried out for an optimized crystal structure of HgRhCl2.

Cell: 4.8905 4.8905 3.4389 Å, 90.00 90.00 100.10°
Positions (direct):
Hg 0.0000 0.0000 0.0000
Rh 0.5000 0.5000 0.0000
Cl 0.0000 0.5000 0.5000
Cl 0.5000 0.0000 0.5000

E_form (uncorrected) = 0.418 eV/atom
energy = -9.67 eV for the cell shown
energy above the most stable polymorph in this dataset = 0.716 eV/atom
D(E_F) = 5.0 states/eV/f.u.

---

A plane-wave DFT calculation with PBE-GGA was carried out for an optimized crystal structure of Hf2ScTcN.

Cell: 4.4288 4.4288 4.2487 Å, 90.00 90.00 90.00°
Positions (direct):
Hf 0.0000 0.5000 0.0000
Hf 0.5000 0.0000 0.0000
Sc 0.0000 0.0000 0.5000
Tc 0.5000 0.5000 0.5000
N 0.0000 0.0000 0.0000

E_form (uncorrected) = -0.750 eV/atom
energy = -48.68 eV for the cell shown
D(E_F) = 4.2 states/eV/f.u.

---

A plane-wave DFT calculation with PBE-GGA was carried out for an optimized crystal structure of Nd2HoAg.

Cell: 3.6502 3.6502 10.8283 Å, 99.65 99.65 60.07°
Positions (direct):
Nd 0.0000 0.0000 0.0000
Nd 0.1810 0.1810 0.5436
Ho 0.4235 0.4235 0.2706
Ag 0.5913 0.5913 0.7738

energy = -16.94 eV for the cell shown
energy above the most stable polymorph in this dataset = 0.118 eV/atom
D(E_F) = 4.7 states/eV/f.u.

---

A plane-wave DFT calculation with PBE-GGA was carried out for an optimized crystal structure of TaTi2SbN.

Cell: 4.2535 4.2535 4.2432 Å, 90.00 90.00 90.00°
Positions (direct):
Ta 0.0000 0.0000 0.0000
Ti 0.0000 0.5000 0.5000
Ti 0.5000 0.0000 0.5000
Sb 0.5000 0.5000 0.0000
N 0.0000 0.0000 0.5000

E_form (uncorrected) = -0.640 eV/atom
energy = -43.29 eV for the cell shown
D(E_F) = 5.3 states/eV/f.u.

---

A plane-wave DFT calculation with PBE-GGA was carried out for an optimized crystal structure of HoNpZn4.

Cell: 5.4425 5.4425 5.4425 Å, 60.00 60.00 60.00°
Positions (direct):
Ho 0.0000 0.0000 0.0000
Np 0.2500 0.2500 0.2500
Zn 0.1251 0.6250 0.6250
Zn 0.6250 0.1251 0.6250
Zn 0.6250 0.6250 0.1251
Zn 0.6250 0.6250 0.6250

energy = -23.11 eV for the cell shown
D(E_F) = 7.2 states/eV/f.u.

---

A plane-wave DFT calculation with PBE-GGA was carried out for an optimized crystal structure of CaSi4Os.

Cell: 5.1146 5.1146 5.1146 Å, 60.00 60.00 60.00°
Positions (direct):
Ca 0.0000 0.0000 0.0000
Si 0.3767 0.3767 0.3767
Si 0.3767 0.3767 0.8700
Si 0.3767 0.8700 0.3767
Si 0.8700 0.3767 0.3767
Os 0.7500 0.7500 0.7500

E_form (uncorrected) = 0.440 eV/atom
energy = -32.28 eV for the cell shown
D(E_F) = 4.8 states/eV/f.u.